#A
Density functional theory data (PBE-GGA) for TePbI2O after structural relaxation.

## Properties
Total moment in Bohr magnetons per cell: 0.00

Structure (CIF):
```
data_TePbI2O
_chemical_formula_sum 'Te1 Pb1 I2 O1'
_cell_length_a 6.340
_cell_length_b 6.340
_cell_length_c 4.167
_cell_angle_alpha 90.00
_cell_angle_beta 90.00
_cell_angle_gamma 90.00
_symmetry_space_group_name_H-M 'P 4/m m m'
_symmetry_Int_Tables_number 123
_symmetry_space_group_name_Hall '-P 4 2'
loop_
_atom_site_label
_atom_site_type_symbol
_atom_site_fract_x
_atom_site_fract_y
_atom_site_fract_z
Te1 Te 0.000 0.000 0.000
Pb1 Pb 0.500 0.500 0.500
I1 I 0.000 0.500 0.500
O1 O 0.500 0.500 0.000
```



#B
Density functional theory data (PBE-GGA) for TePbI2O after structural relaxation.

## Properties
Total moment in Bohr magnetons per cell: 0.00

Structure (CIF):
```
data_TePbI2O
_chemical_formula_sum 'Te1 Pb1 I2 O1'
_cell_length_a 6.216
_cell_length_b 6.216
_cell_length_c 4.131
_cell_angle_alpha 90.00
_cell_angle_beta 90.00
_cell_angle_gamma 90.00
_symmetry_space_group_name_H-M 'P 4/m m m'
_symmetry_Int_Tables_number 123
_symmetry_space_group_name_Hall '-P 4 2'
loop_
_atom_site_label
_atom_site_type_symbol
_atom_site_fract_x
_atom_site_fract_y
_atom_site_fract_z
Te1 Te 0.000 0.000 0.000
Pb1 Pb 0.500 0.500 0.500
I1 I 0.000 0.500 0.000
O1 O 0.000 0.000 0.500
```



Stability, highest: #B